[1]
The following is a PBE calculation of In2SbPd3 after structural relaxation, from Alexandria via LeMat-Bulk.

Summary:
Formation energy (no corrections) ... -2.199 eV per formula unit
DFT total energy ... -4.5628 eV per atom

a b c (Å): 5.482 5.988 7.575
angles (deg): 92.86 111.21 90.00
Fractional positions:
In1 0.741 0.536 0.326
In2 0.585 0.036 0.326
In3 0.415 0.964 0.674
In4 0.259 0.464 0.674
Sb1 0.901 0.750 0.000
Sb2 0.099 0.250 0.000
Pd1 0.598 0.250 0.000
Pd2 0.402 0.750 0.000
Pd3 0.081 0.172 0.352
Pd4 0.730 0.328 0.648
Pd5 0.270 0.672 0.352
Pd6 0.919 0.828 0.648


[2]
The following is a PBE calculation of Ba4Pt2N after structural relaxation, from Alexandria via LeMat-Bulk.

Summary:
Formation energy (no corrections) ... -1.724 eV per formula unit
Polymorph energy (0 for the lowest one) ... 204 meV/atom
DFT total energy ... -4.2603 eV per atom

a b c (Å): 5.505 5.505 9.232
angles (deg): 72.65 72.65 90.00
Fractional positions:
Ba1 0.694 0.694 0.612
Ba2 0.306 0.306 0.388
Ba3 0.000 0.500 0.000
Ba4 0.500 0.000 0.000
Pt1 0.877 0.877 0.246
Pt2 0.123 0.123 0.754
N1 0.000 0.000 0.000


[3]
The following is a PBE calculation of ZrBe4Te after structural relaxation, from Alexandria via LeMat-Bulk.

Summary:
Formation energy (no corrections) ... 1.559 eV per formula unit
DFT total energy ... -4.1726 eV per atom

a b c (Å): 4.865 4.865 4.865
angles (deg): 60.00 60.00 60.00
Fractional positions:
Zr1 0.000 0.000 0.000
Be1 0.895 0.368 0.368
Be2 0.368 0.368 0.895
Be3 0.368 0.895 0.368
Be4 0.368 0.368 0.368
Te1 0.750 0.750 0.750


[4]
The following is a PBE calculation of PmMn2Tl3Se6 after structural relaxation, from Alexandria via LeMat-Bulk.

Summary:
Formation energy (no corrections) ... -8.448 eV per formula unit
DFT total energy ... -4.9620 eV per atom

a b c (Å): 6.856 6.856 8.027
angles (deg): 98.24 98.24 119.44
Site moments in Bohr magnetons follow the coordinates.
Fractional positions:
Pm1 0.000 0.000 0.000  0.03
Mn1 0.332 0.668 0.000  3.77
Mn2 0.668 0.332 0.000  3.77
Tl1 0.155 0.845 0.500  0.02
Tl2 0.845 0.155 0.500  0.02
Tl3 0.500 0.500 0.500  0.02
Se1 0.937 0.568 0.804  -0.04
Se2 0.691 0.691 0.186  -0.04
Se3 0.063 0.432 0.196  -0.04
Se4 0.568 0.937 0.804  -0.04
Se5 0.309 0.309 0.814  -0.04
Se6 0.432 0.063 0.196  -0.04


[5]
The following is a PBE calculation of Y2HoZnN after structural relaxation, from Alexandria via LeMat-Bulk.

Summary:
Formation energy (no corrections) ... -4.018 eV per formula unit
DFT total energy ... -6.2246 eV per atom

a b c (Å): 4.785 4.785 4.742
angles (deg): 90.00 90.00 90.00
Fractional positions:
Y1 0.000 0.500 0.000
Y2 0.500 0.000 0.000
Ho1 0.000 0.000 0.500
Zn1 0.500 0.500 0.500
N1 0.000 0.000 0.000


[6]
The following is a PBE calculation of AcRe2N4 after structural relaxation, from Alexandria via LeMat-Bulk.

Summary:
Formation energy (no corrections) ... -2.181 eV per formula unit
DFT total energy ... -9.2125 eV per atom

a b c (Å): 3.367 5.291 10.182
angles (deg): 90.00 90.00 108.55
Fractional positions:
Ac1 0.621 0.242 0.750
Ac2 0.379 0.758 0.250
Re1 0.115 0.229 0.439
Re2 0.885 0.771 0.939
Re3 0.115 0.229 0.061
Re4 0.885 0.771 0.561
N1 0.752 0.504 0.096
N2 0.752 0.504 0.404
N3 0.248 0.496 0.904
N4 0.248 0.496 0.596
N5 0.918 0.836 0.750
N6 0.082 0.164 0.250
N7 0.500 0.000 0.000
N8 0.500 0.000 0.500


[7]
The following is a PBE calculation of LaSm2Gd after structural relaxation, from Alexandria via LeMat-Bulk.

Summary:
Formation energy from the elements ... 1.65 kJ per mole of atoms
Polymorph energy (0 for the lowest one) ... 0 meV/atom
DFT total energy ... -7.0945 eV per atom

a b c (Å): 5.165 5.156 5.156
angles (deg): 90.00 90.00 90.00
Site moments in Bohr magnetons follow the coordinates.
Fractional positions:
Gd1 0.500 0.500 0.500  7.18
Sm1 0.000 0.000 0.500  -0.01
Sm2 0.000 0.500 0.000  -0.01
La1 0.500 0.000 0.000  -0.01


[8]
The following is a PBE calculation of CaBeV2Pb after structural relaxation, from Alexandria via LeMat-Bulk.

Summary:
Formation energy from the elements ... 66.51 kJ per mole of atoms
DFT total energy ... -4.8454 eV per atom

a b c (Å): 4.607 4.738 4.607
angles (deg): 90.00 90.00 90.00
Site moments in Bohr magnetons follow the coordinates.
Fractional positions:
Pb1 0.000 0.500 0.000  -0.09
Be1 0.000 0.000 0.000  -0.03
Ca1 0.500 0.500 0.500  0.07
V1 0.000 0.000 0.500  1.98
V2 0.500 0.000 0.000  1.71


[9]
The following is a PBE calculation of La9Pr11Ho4 after structural relaxation, from Alexandria via LeMat-Bulk.

Summary:
Formation energy from the elements ... 4.66 kJ per mole of atoms
DFT total energy ... -4.7530 eV per atom

a b c (Å): 3.734 16.204 16.204
angles (deg): 118.00 90.00 90.00
Site moments in Bohr magnetons follow the coordinates.
Fractional positions:
La1 0.500 0.615 0.172  0.00
La2 0.500 0.385 0.828  0.00
La3 0.500 0.172 0.615  0.00
La4 0.500 0.828 0.385  0.00
La5 0.500 0.795 0.969  0.00
La6 0.500 0.205 0.031  0.00
La7 0.500 0.969 0.795  0.00
La8 0.500 0.031 0.205  0.00
La9 0.500 0.500 0.500  -0.12
Pr1 0.000 0.599 0.964  0.00
Pr2 0.000 0.401 0.036  0.00
Pr3 0.000 0.964 0.599  0.00
Pr4 0.000 0.036 0.401  0.00
Pr5 0.000 0.622 0.378  0.00
Pr6 0.000 0.378 0.622  0.00
Pr7 0.000 0.821 0.179  0.00
Pr8 0.000 0.179 0.821  0.00
Pr9 0.000 0.000 0.000  0.00
Pr10 0.000 0.743 0.743  0.00
Pr11 0.000 0.257 0.257  0.00
Ho1 0.500 0.574 0.766  0.00
Ho2 0.500 0.426 0.234  0.00
Ho3 0.500 0.766 0.574  0.00
Ho4 0.500 0.234 0.426  0.00


[10]
The following is a PBE calculation of BeSi3Sb after structural relaxation, from Alexandria via LeMat-Bulk.

Summary:
Formation energy (no corrections) ... 3.173 eV per formula unit
Polymorph energy (0 for the lowest one) ... 0 meV/atom
DFT total energy ... -4.1889 eV per atom

a b c (Å): 4.443 4.443 4.443
angles (deg): 90.00 90.00 90.00
Fractional positions:
Sb1 0.500 0.500 0.500
Si1 0.000 0.500 0.000
Si2 0.000 0.000 0.500
Si3 0.500 0.000 0.000
Be1 0.000 0.000 0.000


[11]
The following is a PBE calculation of Co2Mo2P after structural relaxation, from Alexandria via LeMat-Bulk.

Summary:
Formation energy from the elements ... -7.42 kJ per mole of atoms
DFT total energy ... -8.3337 eV per atom

a b c (Å): 5.590 5.590 4.147
angles (deg): 90.00 90.00 90.00
Fractional positions:
P1 0.000 0.000 0.000
P2 0.500 0.500 0.000
Mo1 0.162 0.662 0.500
Mo2 0.662 0.838 0.500
Mo3 0.838 0.338 0.500
Mo4 0.338 0.162 0.500
Co1 0.353 0.853 0.000
Co2 0.853 0.647 0.000
Co3 0.647 0.147 0.000
Co4 0.147 0.353 0.000


[12]
The following is a PBE calculation of HfCuNO2 after structural relaxation, from Alexandria via LeMat-Bulk.

Summary:
Formation energy (no corrections) ... -3.197 eV per formula unit
DFT total energy ... -7.0976 eV per atom

a b c (Å): 3.650 3.650 3.816
angles (deg): 90.00 90.00 90.00
Fractional positions:
Hf1 0.500 0.500 0.500
O1 0.000 0.500 0.000
O2 0.500 0.000 0.000
Cu1 0.000 0.000 0.000
N1 0.000 0.000 0.500